Below is a PBEsol-optimized structure of LuAlB4, with properties calculated at the SCAN level.

Geometry as POSCAR:
```
LuAlB4
1.0
5.8705 0.0000 0.0000
0.0000 11.3806 0.0000
0.0000 0.0000 3.4652
Lu Al B
4 4 16
Direct
0.1301 0.1503 0.0000
0.3699 0.6503 0.0000
0.6301 0.3497 0.0000
0.8699 0.8497 0.0000
0.1386 0.4099 0.0000
0.3614 0.9099 0.0000
0.6386 0.0901 0.0000
0.8614 0.5901 0.0000
0.0248 0.6936 0.5000
0.1149 0.5477 0.5000
0.1323 0.9692 0.5000
0.2085 0.8125 0.5000
0.2915 0.3125 0.5000
0.3677 0.4692 0.5000
0.3851 0.0477 0.5000
0.4752 0.1936 0.5000
0.5248 0.8064 0.5000
0.6149 0.9523 0.5000
0.6323 0.5308 0.5000
0.7085 0.6875 0.5000
0.7915 0.1875 0.5000
0.8677 0.0308 0.5000
0.8851 0.4523 0.5000
0.9752 0.3064 0.5000
```

Output
Distance to the lowest polymorph of the same formula   0.000 eV/f.u.
Formation energy from the elements   -55 kJ/mol of atoms

***

Below is a PBEsol-optimized structure of GdWC2, with properties calculated at the SCAN level.

Geometry as POSCAR:
```
GdWC2
1.0
5.6995 0.0000 0.0000
0.0000 3.3802 0.0000
0.0000 0.0000 10.7306
Gd W C
4 4 8
Direct
0.0842 0.2500 0.1377
0.4158 0.7500 0.6377
0.5842 0.2500 0.3623
0.9158 0.7500 0.8623
0.0925 0.7500 0.3907
0.4075 0.2500 0.8907
0.5925 0.7500 0.1093
0.9075 0.2500 0.6093
0.1613 0.2500 0.7522
0.2201 0.2500 0.4830
0.2799 0.7500 0.9830
0.3387 0.7500 0.2522
0.6613 0.2500 0.7478
0.7201 0.2500 0.0170
0.7799 0.7500 0.5170
0.8387 0.7500 0.2478
```

Output
Formation energy from the elements   -24 kJ/mol of atoms

***

Below is a PBEsol-optimized structure of LiMoCl, with properties calculated at the SCAN level.

Geometry as POSCAR:
```
LiMoCl
1.0
4.2021 0.0000 0.0000
-2.1010 3.6391 0.0000
0.0000 0.0000 2.8037
Li Mo Cl
1 1 1
Direct
0.0000 0.0000 0.0000
0.6667 0.3333 0.5000
0.3333 0.6667 0.5000
```

Output
E_form (uncorrected)   10.5 kcal/mol of atoms

***

Below is a PBEsol-optimized structure of KV2AgO6, with properties calculated at the SCAN level.

Geometry as POSCAR:
```
KV2AgO6
1.0
5.2826 -4.9538 0.0000
5.2826 4.9538 0.0000
-1.4277 0.0000 5.6408
K V Ag O
2 4 2 12
Direct
0.2012 0.7988 0.7500
0.7988 0.2012 0.2500
0.1237 0.2959 0.7758
0.2959 0.1237 0.2758
0.7041 0.8763 0.7242
0.8763 0.7041 0.2242
0.4051 0.5949 0.2500
0.5949 0.4051 0.7500
0.0876 0.6047 0.2827
0.1380 0.1626 0.0117
0.1626 0.1380 0.5117
0.2892 0.4556 0.8461
0.3953 0.9124 0.2173
0.4556 0.2892 0.3461
0.5444 0.7108 0.6539
0.6047 0.0876 0.7827
0.7108 0.5444 0.1539
0.8374 0.8620 0.4883
0.8620 0.8374 0.9883
0.9124 0.3953 0.7173
```

Output
E_form (uncorrected)   -51.1 kcal/mol of atoms

***

Below is a PBEsol-optimized structure of CsPbBr3, with properties calculated at the SCAN level.

Geometry as POSCAR:
```
CsPbBr3
1.0
8.3809 0.0000 0.0000
0.0000 11.6450 0.0000
0.0000 0.0000 7.9481
Cs Pb Br
4 4 12
Direct
0.0692 0.2500 0.0219
0.4308 0.7500 0.5219
0.5692 0.2500 0.4781
0.9308 0.7500 0.9781
0.0000 0.0000 0.5000
0.0000 0.5000 0.5000
0.5000 0.0000 0.0000
0.5000 0.5000 0.0000
0.0092 0.7500 0.4278
0.1996 0.5373 0.8055
0.1996 0.9627 0.8055
0.3004 0.0373 0.3055
0.3004 0.4627 0.3055
0.4908 0.2500 0.9278
0.5092 0.7500 0.0722
0.6996 0.5373 0.6945
0.6996 0.9627 0.6945
0.8004 0.0373 0.1945
0.8004 0.4627 0.1945
0.9908 0.2500 0.5722
```

Output
E_form (uncorrected)   -32.6 kcal/mol of atoms

***

Below is a PBEsol-optimized structure of BaSbN2F, with properties calculated at the SCAN level.

Geometry as POSCAR:
```
BaSbN2F
1.0
4.6766 0.0000 0.0000
0.0000 4.6766 0.0000
0.0000 0.0000 4.6278
Ba Sb N F
1 1 2 1
Direct
0.0000 0.0000 0.0000
0.5000 0.5000 0.5000
0.0000 0.5000 0.0000
0.5000 0.0000 0.0000
0.0000 0.0000 0.5000
```

Output
Distance to the lowest polymorph of the same formula   8.313 eV/f.u.
E_form (uncorrected)   20.0 kcal/mol of atoms

***

Below is a PBEsol-optimized structure of Ca3Sn13Ir4, with properties calculated at the SCAN level.

Geometry as POSCAR:
```
Ca3Sn13Ir4
1.0
9.6852 0.0000 0.0000
0.0000 9.6852 0.0000
0.0000 0.0000 9.6852
Ca Sn Ir
6 26 8
Direct
0.0000 0.2500 0.5000
0.0000 0.7500 0.5000
0.2500 0.5000 0.0000
0.5000 0.0000 0.2500
0.5000 0.0000 0.7500
0.7500 0.5000 0.0000
0.0000 0.0000 0.0000
0.0000 0.3043 0.1520
0.0000 0.3043 0.8480
0.0000 0.6957 0.1520
0.0000 0.6957 0.8480
0.1520 0.0000 0.3043
0.1520 0.0000 0.6957
0.1957 0.5000 0.3480
0.1957 0.5000 0.6520
0.3043 0.1520 0.0000
0.3043 0.8480 0.0000
0.3480 0.1957 0.5000
0.3480 0.8043 0.5000
0.5000 0.3480 0.1957
0.5000 0.3480 0.8043
0.5000 0.5000 0.5000
0.5000 0.6520 0.1957
0.5000 0.6520 0.8043
0.6520 0.1957 0.5000
0.6520 0.8043 0.5000
0.6957 0.1520 0.0000
0.6957 0.8480 0.0000
0.8043 0.5000 0.3480
0.8043 0.5000 0.6520
0.8480 0.0000 0.3043
0.8480 0.0000 0.6957
0.2500 0.2500 0.2500
0.2500 0.2500 0.7500
0.2500 0.7500 0.2500
0.2500 0.7500 0.7500
0.7500 0.2500 0.2500
0.7500 0.2500 0.7500
0.7500 0.7500 0.2500
0.7500 0.7500 0.7500
```

Output
Formation energy from the elements   -47 kJ/mol of atoms

***

Below is a PBEsol-optimized structure of Li2RuPtBr, with properties calculated at the SCAN level.

Geometry as POSCAR:
```
Li2RuPtBr
1.0
4.2547 0.0000 0.0000
0.0000 4.2547 0.0000
0.0000 0.0000 4.7203
Li Ru Pt Br
2 1 1 1
Direct
0.0000 0.5000 0.0000
0.5000 0.0000 0.0000
0.0000 0.0000 0.5000
0.5000 0.5000 0.5000
0.0000 0.0000 0.0000
```

Output
E_form (uncorrected)   8.1 kcal/mol of atoms

***

Below is a PBEsol-optimized structure of Ru3Se, with properties calculated at the SCAN level.

Geometry as POSCAR:
```
Ru3Se
1.0
-1.4182 4.5267 2.1974
1.4182 -4.5267 2.1974
1.4182 4.5267 -2.1974
Ru Se
3 1
Direct
0.0000 0.0000 0.0000
0.0412 0.7619 0.2793
0.4825 0.7619 0.7207
0.5573 0.0573 0.5000
```

Output
E_form (uncorrected)   5.5 kcal/mol of atoms

***

Below is a PBEsol-optimized structure of TaAuCSe2, with properties calculated at the SCAN level.

Geometry as POSCAR:
```
TaAuCSe2
1.0
4.3862 0.0000 0.0000
0.0000 4.3862 0.0000
0.0000 0.0000 4.1455
Ta Au C Se
1 1 1 2
Direct
0.0000 0.0000 0.0000
0.5000 0.5000 0.0000
0.5000 0.5000 0.5000
0.0000 0.5000 0.5000
0.5000 0.0000 0.5000
```

Output
E_form (uncorrected)   29.1 kcal/mol of atoms

***

Below is a PBEsol-optimized structure of Sb3Mo, with properties calculated at the SCAN level.

Geometry as POSCAR:
```
Sb3Mo
1.0
-2.4986 2.4986 3.4265
2.4986 -2.4986 3.4265
2.4986 2.4986 -3.4265
Sb Mo
3 1
Direct
0.0000 0.0000 0.0000
0.2500 0.7500 0.5000
0.7500 0.2500 0.5000
0.5000 0.5000 0.0000
```

Output
Distance to the lowest polymorph of the same formula   0.520 eV/f.u.
E_form (uncorrected)   16.2 kcal/mol of atoms

***

Below is a PBEsol-optimized structure of Be3FeGe, with properties calculated at the SCAN level.

Geometry as POSCAR:
```
Be3FeGe
1.0
4.1207 0.0000 0.0000
0.0000 4.1207 0.0000
0.0000 0.0000 4.1207
Be Fe Ge
3 1 1
Direct
0.0000 0.0000 0.5000
0.0000 0.5000 0.0000
0.5000 0.0000 0.0000
0.5000 0.5000 0.5000
0.0000 0.0000 0.0000
```

Output
Formation energy from the elements   111 kJ/mol of atoms

***

Below is a PBEsol-optimized structure of BaZrSb2, with properties calculated at the SCAN level.

Geometry as POSCAR:
```
BaZrSb2
1.0
3.3334 0.0000 0.0000
0.0000 3.8946 0.0000
0.0000 0.0000 8.4029
Ba Zr Sb
1 1 2
Direct
0.0000 0.0000 0.0000
0.0000 0.0000 0.5000
0.5000 0.5000 0.2934
0.5000 0.5000 0.7066
```

Output
Distance to the lowest polymorph of the same formula   0.717 eV/f.u.
E_form (uncorrected)   -16.5 kcal/mol of atoms

***

Below is a PBEsol-optimized structure of Sr5Tl24, with properties calculated at the SCAN level.

Geometry as POSCAR:
```
Sr5Tl24
1.0
-5.9588 5.9588 5.9588
5.9588 -5.9588 5.9588
5.9588 5.9588 -5.9588
Sr Tl
5 24
Direct
0.0000 0.0000 0.0000
0.0000 0.0000 0.6136
0.0000 0.6136 0.0000
0.3864 0.3864 0.3864
0.6136 0.0000 0.0000
0.0000 0.1927 0.3744
0.0000 0.3744 0.1927
0.0000 0.3968 0.6748
0.0000 0.6748 0.3968
0.1817 0.8073 0.8073
0.1927 0.0000 0.3744
0.1927 0.3744 0.0000
0.2780 0.6032 0.6032
0.3252 0.3252 0.7220
0.3252 0.7220 0.3252
0.3744 0.0000 0.1927
0.3744 0.1927 0.0000
0.3968 0.0000 0.6748
0.3968 0.6748 0.0000
0.6032 0.2780 0.6032
0.6032 0.6032 0.2780
0.6256 0.6256 0.8183
0.6256 0.8183 0.6256
0.6748 0.0000 0.3968
0.6748 0.3968 0.0000
0.7220 0.3252 0.3252
0.8073 0.1817 0.8073
0.8073 0.8073 0.1817
0.8183 0.6256 0.6256
```

Output
Formation energy from the elements   -23 kJ/mol of atoms

***

Below is a PBEsol-optimized structure of Pr2Pd2Pb, with properties calculated at the SCAN level.

Geometry as POSCAR:
```
Pr2Pd2Pb
1.0
7.8662 0.0000 0.0000
0.0000 7.8662 0.0000
0.0000 0.0000 3.8312
Pr Pd Pb
4 4 2
Direct
0.1765 0.3235 0.0000
0.3235 0.8235 0.0000
0.6765 0.1765 0.0000
0.8235 0.6765 0.0000
0.1236 0.6236 0.5000
0.3764 0.1236 0.5000
0.6236 0.8764 0.5000
0.8764 0.3764 0.5000
0.0000 0.0000 0.5000
0.5000 0.5000 0.5000
```

Output
Formation energy from the elements   -88 kJ/mol of atoms

***

Below is a PBEsol-optimized structure of SrP2S2, with properties calculated at the SCAN level.

Geometry as POSCAR:
```
SrP2S2
1.0
5.4283 0.0000 0.0000
0.0000 5.4283 0.0000
0.0000 0.0000 5.7250
Sr P S
1 2 2
Direct
0.0000 0.0000 0.0000
0.0000 0.0000 0.5000
0.5000 0.5000 0.5000
0.0000 0.5000 0.0000
0.5000 0.0000 0.0000
```

Output
Distance to the lowest polymorph of the same formula   7.161 eV/f.u.
E_form (uncorrected)   26.3 kcal/mol of atoms

***

Below is a PBEsol-optimized structure of Ta4ZnCl, with properties calculated at the SCAN level.

Geometry as POSCAR:
```
Ta4ZnCl
1.0
0.0000 3.8485 3.8485
3.8485 0.0000 3.8485
3.8485 3.8485 0.0000
Ta Zn Cl
4 1 1
Direct
0.3768 0.3768 0.3768
0.3768 0.3768 0.8695
0.3768 0.8695 0.3768
0.8695 0.3768 0.3768
0.7500 0.7500 0.7500
0.0000 0.0000 0.0000
```

Output
E_form (uncorrected)   18.8 kcal/mol of atoms

***

Below is a PBEsol-optimized structure of MnAlCu, with properties calculated at the SCAN level.

Geometry as POSCAR:
```
MnAlCu
1.0
0.0000 2.8082 2.8082
2.8082 0.0000 2.8082
2.8082 2.8082 0.0000
Mn Al Cu
1 1 1
Direct
0.0000 0.0000 0.0000
0.5000 0.5000 0.5000
0.2500 0.2500 0.2500
```

Output
Formation energy from the elements   -9 kJ/mol of atoms

***

Below is a PBEsol-optimized structure of TiAs2O7, with properties calculated at the SCAN level.

Geometry as POSCAR:
```
TiAs2O7
1.0
3.4632 -3.9986 0.0000
3.4632 3.9986 0.0000
-2.2941 0.0000 9.2130
Ti As O
2 4 14
Direct
0.0000 0.0000 0.0000
0.0000 0.0000 0.5000
0.1706 0.4384 0.8009
0.4384 0.1706 0.3009
0.5616 0.8294 0.6991
0.8294 0.5616 0.1991
0.0359 0.7106 0.3549
0.0746 0.7162 0.8690
0.2336 0.2499 0.9252
0.2499 0.2336 0.4252
0.2838 0.9254 0.6310
0.2894 0.9641 0.1451
0.4743 0.5257 0.7500
0.5257 0.4743 0.2500
0.7106 0.0359 0.8549
0.7162 0.0746 0.3690
0.7501 0.7664 0.5748
0.7664 0.7501 0.0748
0.9254 0.2838 0.1310
0.9641 0.2894 0.6451
```

Output
Distance to the lowest polymorph of the same formula   0.031 eV/f.u.
E_form (uncorrected)   -43.3 kcal/mol of atoms

***

Below is a PBEsol-optimized structure of TmGaAu, with properties calculated at the SCAN level.

Geometry as POSCAR:
```
TmGaAu
1.0
5.1144 -2.1987 0.0000
5.1144 2.1987 0.0000
-4.5590 0.0000 5.1740
Tm Ga Au
2 2 2
Direct
0.0382 0.0382 0.2981
0.9618 0.9618 0.7019
0.3420 0.3420 0.8954
0.6580 0.6580 0.1046
0.3239 0.3239 0.2863
0.6761 0.6761 0.7137
```

Output
Formation energy from the elements   -97 kJ/mol of atoms

***

Calculated total energy: -384.87 -598.75 -43.89 -268.44 -716.12 -94.59 -1580.21 -127.50 -123.60 -179.68 -143.86 -44.55 -147.63 -1854.74 -465.07 -56.64 -282.95 -41.50 -237.65 -280.70 (eV/cell)